(1)
# Na5InBr8 (PBE, optimized geometry)
data_Na5InBr8
_cell_length_a 12.392
_cell_length_b 12.392
_cell_length_c 12.392
_cell_angle_alpha 90.00
_cell_angle_beta 90.00
_cell_angle_gamma 90.00
_space_group_name_H-M_alt 'F -4 3 m'
_space_group_IT_number 216
_space_group_name_Hall 'F -4 2 3'
loop_
_atom_site_label
_atom_site_type_symbol
_atom_site_fract_x
_atom_site_fract_y
_atom_site_fract_z
Na1 Na 0.000 0.000 0.000
Na2 Na 0.139 0.139 0.361
In1 In 0.250 0.250 0.750
Br1 Br 0.130 0.130 0.630
Br2 Br 0.131 0.131 0.131
# Volume = 34.0 A^3/atom
# E_form (uncorrected) = -124 kJ/mol of atoms
# Polymorph energy (0 for the lowest one) = 10.2 meV/atom

(2)
# Na2InBr (PBE, optimized geometry)
data_Na2InBr
_cell_length_a 7.886
_cell_length_b 7.886
_cell_length_c 7.886
_cell_angle_alpha 90.00
_cell_angle_beta 90.00
_cell_angle_gamma 90.00
_space_group_name_H-M_alt 'F m -3 m'
_space_group_IT_number 225
_space_group_name_Hall '-F 4 2 3'
loop_
_atom_site_label
_atom_site_type_symbol
_atom_site_fract_x
_atom_site_fract_y
_atom_site_fract_z
Na1 Na 0.250 0.250 0.250
In1 In 0.000 0.000 0.000
Br1 Br 0.000 0.000 0.500
# Volume = 30.7 A^3/atom
# E_form (uncorrected) = -35 kJ/mol of atoms
# Polymorph energy (0 for the lowest one) = 325.0 meV/atom

(3)
# Na2InBr5 (PBE, optimized geometry)
data_Na2InBr5
_cell_length_a 5.799
_cell_length_b 14.332
_cell_length_c 13.496
_cell_angle_alpha 90.00
_cell_angle_beta 90.00
_cell_angle_gamma 90.00
_space_group_name_H-M_alt 'C m c m'
_space_group_IT_number 63
_space_group_name_Hall '-C 2c 2'
loop_
_atom_site_label
_atom_site_type_symbol
_atom_site_fract_x
_atom_site_fract_y
_atom_site_fract_z
Na1 Na 0.000 0.159 0.072
In1 In 0.000 0.184 0.750
Br1 Br 0.000 0.053 0.613
Br2 Br 0.000 0.288 0.250
Br3 Br 0.000 0.314 0.604
# Volume = 35.1 A^3/atom
# E_form (uncorrected) = -111 kJ/mol of atoms
# Polymorph energy (0 for the lowest one) = 0.0 meV/atom

(4)
# Na2In2Br7 (PBE, optimized geometry)
data_Na2In2Br7
_cell_length_a 9.901
_cell_length_b 12.746
_cell_length_c 7.127
_cell_angle_alpha 90.00
_cell_angle_beta 102.80
_cell_angle_gamma 90.00
_space_group_name_H-M_alt 'C 1 2/m 1'
_space_group_IT_number 12
loop_
_space_group_symop_operation_xyz
'x,y,z'
'-x,-y,-z'
'-x,y,-z'
'x,-y,z'
'x+1/2,y+1/2,z'
'-x+1/2,-y+1/2,-z'
'-x+1/2,y+1/2,-z'
'x+1/2,-y+1/2,z'
loop_
_atom_site_label
_atom_site_type_symbol
_atom_site_fract_x
_atom_site_fract_y
_atom_site_fract_z
Na1 Na 0.000 0.193 0.000
In1 In 0.247 0.500 0.397
Br1 Br 0.000 0.500 0.500
Br2 Br 0.077 0.000 0.262
Br3 Br 0.246 0.326 0.197
# Volume = 39.9 A^3/atom
# E_form (uncorrected) = -96 kJ/mol of atoms
# Polymorph energy (0 for the lowest one) = 4.5 meV/atom

(5)
# Na2InBr (PBE, optimized geometry)
data_Na2InBr
_cell_length_a 8.349
_cell_length_b 8.349
_cell_length_c 7.214
_cell_angle_alpha 90.00
_cell_angle_beta 90.00
_cell_angle_gamma 90.00
_space_group_name_H-M_alt 'I -4 2 d'
_space_group_IT_number 122
_space_group_name_Hall 'I -4 2bw'
loop_
_atom_site_label
_atom_site_type_symbol
_atom_site_fract_x
_atom_site_fract_y
_atom_site_fract_z
Na1 Na 0.209 0.250 0.125
In1 In 0.000 0.000 0.500
Br1 Br 0.000 0.000 0.000
# Volume = 31.4 A^3/atom
# E_form (uncorrected) = -51 kJ/mol of atoms
# Polymorph energy (0 for the lowest one) = 162.6 meV/atom

(6)
# Na3InBr4 (PBE, optimized geometry)
data_Na3InBr4
_cell_length_a 7.650
_cell_length_b 8.838
_cell_length_c 7.588
_cell_angle_alpha 90.00
_cell_angle_beta 109.57
_cell_angle_gamma 90.00
_space_group_name_H-M_alt 'P 1 2/c 1'
_space_group_IT_number 13
loop_
_space_group_symop_operation_xyz
'x,y,z'
'-x,-y,-z'
'-x,y,-z+1/2'
'x,-y,z+1/2'
loop_
_atom_site_label
_atom_site_type_symbol
_atom_site_fract_x
_atom_site_fract_y
_atom_site_fract_z
Na1 Na 0.000 0.121 0.250
Na2 Na 0.000 0.371 0.750
Na3 Na 0.500 0.122 0.750
In1 In 0.500 0.373 0.250
Br1 Br 0.224 0.360 0.501
Br2 Br 0.247 0.114 0.987
# Volume = 30.2 A^3/atom
# E_form (uncorrected) = -127 kJ/mol of atoms
# Polymorph energy (0 for the lowest one) = 0.0 meV/atom

(7)
# NaIn2Br3 (PBE, optimized geometry)
data_NaIn2Br3
_cell_length_a 4.605
_cell_length_b 19.629
_cell_length_c 4.600
_cell_angle_alpha 90.00
_cell_angle_beta 90.00
_cell_angle_gamma 90.00
_space_group_name_H-M_alt 'I m m 2'
_space_group_IT_number 44
loop_
_space_group_symop_operation_xyz
'x,y,z'
'-x,-y,z'
'-x,y,z'
'x,-y,z'
'x+1/2,y+1/2,z+1/2'
'-x+1/2,-y+1/2,z+1/2'
'-x+1/2,y+1/2,z+1/2'
'x+1/2,-y+1/2,z+1/2'
loop_
_atom_site_label
_atom_site_type_symbol
_atom_site_fract_x
_atom_site_fract_y
_atom_site_fract_z
Na1 Na 0.000 0.000 0.000
In1 In 0.000 0.339 0.007
Br1 Br 0.000 0.147 0.007
Br2 Br 0.000 0.500 0.006
# Volume = 34.6 A^3/atom
# E_form (uncorrected) = -91 kJ/mol of atoms

(8)
# Na2InBr (PBE, optimized geometry)
data_Na2InBr
_cell_length_a 3.8171
_cell_length_b 3.8171
_cell_length_c 29.9931
_cell_angle_alpha 90.00
_cell_angle_beta 90.00
_cell_angle_gamma 120.00
_space_group_name_H-M_alt 'R -3 m'
_space_group_IT_number 166
_space_group_name_Hall '-R 3 2"'
loop_
_atom_site_label
_atom_site_type_symbol
_atom_site_fract_x
_atom_site_fract_y
_atom_site_fract_z
Na1 Na 0.0000 0.0000 0.1031
In1 In 0.0000 0.0000 0.0000
Br1 Br 0.0000 0.0000 0.5000
# Volume = 31.5 A^3/atom
# E_form (uncorrected) = -57 kJ/mol of atoms
# Polymorph energy (0 for the lowest one) = 102.5 meV/atom

(9)
# Na2InBr (PBE, optimized geometry)
data_Na2InBr
_cell_length_a 3.568
_cell_length_b 3.568
_cell_length_c 8.562
_cell_angle_alpha 90.00
_cell_angle_beta 90.00
_cell_angle_gamma 90.00
_space_group_name_H-M_alt 'P 4/m m m'
_space_group_IT_number 123
_space_group_name_Hall '-P 4 2'
loop_
_atom_site_label
_atom_site_type_symbol
_atom_site_fract_x
_atom_site_fract_y
_atom_site_fract_z
Na1 Na 0.000 0.000 0.212
In1 In 0.500 0.500 0.500
Br1 Br 0.500 0.500 0.000
# Volume = 27.2 A^3/atom
# E_form (uncorrected) = -67 kJ/mol of atoms
# Polymorph energy (0 for the lowest one) = 0.0 meV/atom

(10)
# Na3InBr (PBE, optimized geometry)
data_Na3InBr
_cell_length_a 5.958
_cell_length_b 5.958
_cell_length_c 5.958
_cell_angle_alpha 90.00
_cell_angle_beta 90.00
_cell_angle_gamma 90.00
_space_group_name_H-M_alt 'P m -3 m'
_space_group_IT_number 221
_space_group_name_Hall '-P 4 2 3'
loop_
_atom_site_label
_atom_site_type_symbol
_atom_site_fract_x
_atom_site_fract_y
_atom_site_fract_z
Na1 Na 0.000 0.000 0.500
In1 In 0.000 0.000 0.000
Br1 Br 0.500 0.500 0.500
# Volume = 42.3 A^3/atom
# E_form (uncorrected) = -9 kJ/mol of atoms
# Polymorph energy (0 for the lowest one) = 327.2 meV/atom

(11)
# NaIn2Br (PBE, optimized geometry)
data_NaIn2Br
_cell_length_a 7.953
_cell_length_b 7.953
_cell_length_c 7.953
_cell_angle_alpha 90.00
_cell_angle_beta 90.00
_cell_angle_gamma 90.00
_space_group_name_H-M_alt 'F m -3 m'
_space_group_IT_number 225
_space_group_name_Hall '-F 4 2 3'
loop_
_atom_site_label
_atom_site_type_symbol
_atom_site_fract_x
_atom_site_fract_y
_atom_site_fract_z
Na1 Na 0.000 0.000 0.000
In1 In 0.250 0.250 0.250
Br1 Br 0.000 0.000 0.500
# Volume = 31.4 A^3/atom
# E_form (uncorrected) = -10 kJ/mol of atoms

(12)
# Na3InBr (PBE, optimized geometry)
data_Na3InBr
_cell_length_a 5.578
_cell_length_b 5.578
_cell_length_c 5.578
_cell_angle_alpha 90.00
_cell_angle_beta 90.00
_cell_angle_gamma 90.00
_space_group_name_H-M_alt 'P m -3 m'
_space_group_IT_number 221
_space_group_name_Hall '-P 4 2 3'
loop_
_atom_site_label
_atom_site_type_symbol
_atom_site_fract_x
_atom_site_fract_y
_atom_site_fract_z
Na1 Na 0.000 0.000 0.500
In1 In 0.500 0.500 0.500
Br1 Br 0.000 0.000 0.000
# Volume = 34.7 A^3/atom
# E_form (uncorrected) = -41 kJ/mol of atoms
# Polymorph energy (0 for the lowest one) = 0.0 meV/atom